# 1
# TaCoNO

A geometry-optimized TaCoNO structure (PBE+U, the Open Quantum Materials Database).

The structure in POSCAR format:
```
TaCoNO
1.0
5.6941 0.0000 0.0000
0.0000 6.3247 0.0000
0.0000 0.0000 5.4190
Ta Co N O
4 4 4 4
Cartesian
0.3666 0.6341 0.0000 Ta
2.4805 0.6341 2.7095 Ta
3.2136 5.6906 0.0000 Ta
5.3275 5.6906 2.7095 Ta
0.6309 4.0034 4.9287 Co
2.2161 4.0034 2.2192 Co
3.4779 2.3212 4.9287 Co
5.0631 2.3212 2.2192 Co
0.3359 3.9293 2.9489 N
2.5111 3.9293 0.2395 N
3.1829 2.3954 2.9489 N
5.3581 2.3954 0.2395 N
0.5729 1.0691 3.3755 O
2.2741 1.0691 0.6660 O
3.4199 5.2556 3.3755 O
5.1211 5.2556 0.6660 O
```

Results
Total DFT energy (no corrections) (eV per cell): -131.58


# 2
# Zn2CoO4

A geometry-optimized Zn2CoO4 structure (PBE+U, the Open Quantum Materials Database).

The structure in POSCAR format:
```
Zn2CoO4
1.0
0.0000 4.1856 4.1856
4.1856 0.0000 4.1856
4.1856 4.1856 0.0000
Zn Co O
4 2 8
Cartesian
0.0000 0.0000 0.0000 Zn
2.0928 2.0928 0.0000 Zn
2.0928 0.0000 2.0928 Zn
0.0000 2.0928 2.0928 Zn
3.1392 3.1392 3.1392 Co
5.2320 5.2320 5.2320 Co
6.2847 4.1794 4.1794 O
2.0866 2.0866 2.0866 O
4.1919 4.1919 2.0866 O
4.1919 2.0866 4.1919 O
4.1794 6.2847 4.1794 O
4.1794 4.1794 6.2847 O
6.2847 6.2847 6.2847 O
2.0866 4.1919 4.1919 O
```

Results
Total DFT energy (no corrections) (eV per cell): -69.07


- Among the records above, which one has the lowest total DFT energy (no corrections)?
  TaCoNO


- Which of these has the lowest total DFT energy (no corrections)?
  TaCoNO


What did the first record say?
# TaCoNO

A geometry-optimized TaCoNO structure (PBE+U, the Open Quantum Materials Database).

The structure in POSCAR format:
```
TaCoNO
1.0
5.6941 0.0000 0.0000
0.0000 6.3247 0.0000
0.0000 0.0000 5.4190
Ta Co N O
4 4 4 4
Cartesian
0.3666 0.6341 0.0000 Ta
2.4805 0.6341 2.7095 Ta
3.2136 5.6906 0.0000 Ta
5.3275 5.6906 2.7095 Ta
0.6309 4.0034 4.9287 Co
2.2161 4.0034 2.2192 Co
3.4779 2.3212 4.9287 Co
5.0631 2.3212 2.2192 Co
0.3359 3.9293 2.9489 N
2.5111 3.9293 0.2395 N
3.1829 2.3954 2.9489 N
5.3581 2.3954 0.2395 N
0.5729 1.0691 3.3755 O
2.2741 1.0691 0.6660 O
3.4199 5.2556 3.3755 O
5.1211 5.2556 0.6660 O
```

Results
Total DFT energy (no corrections) (eV per cell): -131.58


- What is the total DFT energy (no corrections) in the first record?
  -131.58 eV per cell